[1]
Compound: Sr3SiBi
Source: the Alexandria database
Functional: PBE
Structure: optimized geometry

a = 5.903 Å, b = 5.903 Å, c = 5.903 Å
α = 90.00°, β = 90.00°, γ = 90.00°
Space group Pm-3m (No. 221)
Symmetry-distinct sites (fractional):
Sr1 0.000 0.000 0.500 (multiplicity 3)
Si1 0.000 0.000 0.000 (multiplicity 1)
Bi1 0.500 0.500 0.500 (multiplicity 1)

Values from the calculation:
density = 4.0 g cm⁻³
ΔE_f (raw) = -372 meV/atom
excess energy over the best structure of this formula in the dataset = 180 meV per atom
crystal system = cubic
final energy = -3.24 eV per atom

=====

[2]
Compound: AcCe2PbO8
Source: the Alexandria database
Functional: PBE
Structure: optimized geometry

a = 4.018 Å, b = 5.648 Å, c = 7.687 Å
α = 90.00°, β = 90.00°, γ = 90.00°
Space group Pmmm (No. 47)
Symmetry-distinct sites (fractional):
Ac1 0.000 0.000 0.000 (multiplicity 1)
Ce1 0.500 0.500 0.252 (multiplicity 2)
Pb1 0.000 0.000 0.500 (multiplicity 1)
O1 0.000 0.258 0.273 (multiplicity 4)
O2 0.500 0.247 0.500 (multiplicity 2)
O3 0.500 0.271 0.000 (multiplicity 2)

Values from the calculation:
density = 8.0 g cm⁻³
ΔE_f (raw) = -2510 meV/atom
crystal system = orthorhombic
final energy = -7.46 eV per atom

=====

[3]
Compound: Hf2MoH6
Source: the Alexandria database
Functional: PBE
Structure: optimized geometry

a = 10.416 Å, b = 4.513 Å, c = 3.277 Å
α = 90.00°, β = 108.20°, γ = 90.00°
Space group C2/m (No. 12)
Symmetry-distinct sites (fractional):
Hf1 0.163 0.000 0.163 (multiplicity 4)
Mo1 0.000 0.500 0.500 (multiplicity 2)
H1 0.000 0.270 0.000 (multiplicity 4)
H2 0.163 0.261 0.663 (multiplicity 8)

Values from the calculation:
density = 10.4 g cm⁻³
crystal system = monoclinic
final energy = -5.98 eV per atom

=====

[4]
Compound: LaFe2Hg
Source: the Alexandria database
Functional: PBE
Structure: optimized geometry

a = 6.933 Å, b = 6.933 Å, c = 6.933 Å
α = 90.00°, β = 90.00°, γ = 90.00°
Space group F-43m (No. 216)
Symmetry-distinct sites (fractional):
La1 0.000 0.000 0.000 (multiplicity 4)
Fe1 0.000 0.000 0.500 (multiplicity 4)
Fe2 0.250 0.250 0.250 (multiplicity 4)
Hg1 0.250 0.250 0.750 (multiplicity 4)

Values from the calculation:
density = 9.0 g cm⁻³
energy of formation = 0.3915 eV per atom
crystal system = cubic
final energy = -5.15 eV per atom

=====

[5]
Compound: Rb2Na2Sr3
Source: the Alexandria database
Functional: PBE
Structure: optimized geometry

a = 4.740 Å, b = 37.865 Å, c = 4.627 Å
α = 90.00°, β = 90.00°, γ = 90.00°
Space group Cmmm (No. 65)
Symmetry-distinct sites (fractional):
Rb1 0.000 0.194 0.000 (multiplicity 4)
Na1 0.000 0.379 0.500 (multiplicity 4)
Sr1 0.000 0.066 0.000 (multiplicity 4)
Sr2 0.000 0.500 0.500 (multiplicity 2)

Values from the calculation:
density = 1.9 g cm⁻³
energy of formation = 0.0312 eV per atom
crystal system = orthorhombic
final energy = -1.34 eV per atom

=====

[6]
Compound: HoTmCd
Source: the Alexandria database
Functional: PBE
Structure: optimized geometry

a = 3.557 Å, b = 3.557 Å, c = 13.042 Å
α = 90.00°, β = 90.00°, γ = 90.00°
Space group I4mm (No. 107)
Symmetry-distinct sites (fractional):
Ho1 0.000 0.000 0.000 (multiplicity 2)
Tm1 0.000 0.000 0.686 (multiplicity 2)
Cd1 0.000 0.000 0.341 (multiplicity 2)

Values from the calculation:
density = 9.0 g cm⁻³
excess energy over the best structure of this formula in the dataset = 0 meV per atom
energy of formation = -0.1885 eV per atom
crystal system = tetragonal
final energy = -3.51 eV per atom

=====

[7]
Compound: Sr2Ag4Pd3
Source: the Alexandria database
Functional: PBE
Structure: optimized geometry

a = 5.527 Å, b = 9.698 Å, c = 14.141 Å
α = 90.00°, β = 90.00°, γ = 90.00°
Space group Fmmm (No. 69)
Symmetry-distinct sites (fractional):
Sr1 0.000 0.000 0.124 (multiplicity 8)
Ag1 0.000 0.168 0.332 (multiplicity 16)
Pd1 0.000 0.000 0.500 (multiplicity 4)
Pd2 0.250 0.250 0.000 (multiplicity 8)

Values from the calculation:
density = 8.1 g cm⁻³
energy of formation = -0.3695 eV per atom
crystal system = orthorhombic
final energy = -3.74 eV per atom

=====

[8]
Compound: Ac5GaPb4
Source: the Alexandria database
Functional: PBE
Structure: optimized geometry

a = 10.727 Å, b = 10.727 Å, c = 6.864 Å
α = 90.00°, β = 90.00°, γ = 90.00°
Space group I4 (No. 79)
Symmetry-distinct sites (fractional):
Ac1 0.000 0.000 0.000 (multiplicity 2)
Ac2 0.098 0.300 0.589 (multiplicity 8)
Ga1 0.000 0.000 0.467 (multiplicity 2)
Pb1 0.099 0.295 0.094 (multiplicity 8)

Values from the calculation:
density = 8.6 g cm⁻³
energy of formation = -0.3405 eV per atom
crystal system = tetragonal
final energy = -4.18 eV per atom

=====

[9]
Compound: Ca2TeAu2
Source: the Alexandria database
Functional: PBE
Structure: optimized geometry

a = 8.329 Å, b = 8.329 Å, c = 3.938 Å
α = 90.00°, β = 90.00°, γ = 90.00°
Space group P4/mbm (No. 127)
Symmetry-distinct sites (fractional):
Ca1 0.169 0.331 0.000 (multiplicity 4)
Te1 0.000 0.000 0.000 (multiplicity 2)
Au1 0.123 0.623 0.500 (multiplicity 4)

Values from the calculation:
density = 7.3 g cm⁻³
ΔE_f (raw) = -792 meV/atom
excess energy over the best structure of this formula in the dataset = 82 meV per atom
crystal system = tetragonal
final energy = -3.53 eV per atom

=====

[10]
Compound: ReAg4Pb
Source: the Alexandria database
Functional: PBE
Structure: optimized geometry

a = 7.832 Å, b = 7.832 Å, c = 7.832 Å
α = 90.00°, β = 90.00°, γ = 90.00°
Space group F-43m (No. 216)
Symmetry-distinct sites (fractional):
Re1 0.000 0.000 0.000 (multiplicity 4)
Ag1 0.126 0.126 0.626 (multiplicity 16)
Pb1 0.250 0.250 0.250 (multiplicity 4)

Values from the calculation:
density = 11.4 g cm⁻³
energy of formation = 0.7853 eV per atom
crystal system = cubic
final energy = -3.81 eV per atom

=====

[11]
Compound: PmHfSb
Source: the Alexandria database
Functional: PBE
Structure: optimized geometry

a = 3.799 Å, b = 3.799 Å, c = 10.931 Å
α = 90.00°, β = 90.00°, γ = 90.00°
Space group I4mm (No. 107)
Symmetry-distinct sites (fractional):
Pm1 0.000 0.000 0.000 (multiplicity 2)
Hf1 0.000 0.000 0.688 (multiplicity 2)
Sb1 0.000 0.000 0.313 (multiplicity 2)

Values from the calculation:
density = 9.4 g cm⁻³
ΔE_f (raw) = -427 meV/atom
excess energy over the best structure of this formula in the dataset = 0 meV per atom
crystal system = tetragonal
final energy = -6.70 eV per atom

=====

[12]
Compound: CaPm3Ho
Source: the Alexandria database
Functional: PBE
Structure: optimized geometry

a = 6.1838 Å, b = 6.1838 Å, c = 35.3132 Å
α = 90.00°, β = 90.00°, γ = 120.00°
Space group R-3 (No. 148, hexagonal axes)
Symmetry-distinct sites (fractional):
Ca1 0.0000 0.0000 0.1667 (multiplicity 6)
Pm1 0.0034 0.3301 0.0784 (multiplicity 18)
Ho1 0.0000 0.0000 0.3336 (multiplicity 6)

Values from the calculation:
density = 5.5 g cm⁻³
excess energy over the best structure of this formula in the dataset = 199 meV per atom
energy of formation = 0.3705 eV per atom
crystal system = trigonal
final energy = -3.80 eV per atom

=====

[13]
Compound: Tm2NpGa9
Source: the Alexandria database
Functional: PBE
Structure: optimized geometry

a = 4.234 Å, b = 4.234 Å, c = 12.768 Å
α = 90.00°, β = 90.00°, γ = 90.00°
Space group P4/mmm (No. 123)
Symmetry-distinct sites (fractional):
Tm1 0.000 0.000 0.165 (multiplicity 2)
Np1 0.000 0.000 0.500 (multiplicity 1)
Ga1 0.000 0.500 0.000 (multiplicity 2)
Ga2 0.000 0.500 0.333 (multiplicity 4)
Ga3 0.500 0.500 0.168 (multiplicity 2)
Ga4 0.500 0.500 0.500 (multiplicity 1)

Values from the calculation:
density = 8.7 g cm⁻³
energy of formation = -0.4159 eV per atom
crystal system = tetragonal
final energy = -4.51 eV per atom